Entry 1:
Sr2BeSi4Pt3 | PBE | optimized geometry

As for the uncorrected formation energy: -0.748 eV/atom.

It has space group P-4m2 (No. 115), with a = 4.245 Å, b = 4.245 Å, c = 10.113 Å, α = 90.00°, β = 90.00° and γ = 90.00°. The distinct sites, in fractional coordinates, are Sr at (0.000, 0.500, 0.247), Be at (0.500, 0.500, 0.000), Si at (0.000, 0.000, 0.500), Si at (0.000, 0.500, 0.872), Si at (0.500, 0.500, 0.500), Pt at (0.000, 0.000, 0.000) and Pt at (0.000, 0.500, 0.623).

=====

Entry 2:
Tb2BeSi4Pt3 | PBE | optimized geometry

As for the uncorrected formation energy: -0.956 eV/atom.

It has space group P-4m2 (No. 115), with a = 4.082 Å, b = 4.082 Å, c = 10.170 Å, α = 90.00°, β = 90.00° and γ = 90.00°. The distinct sites, in fractional coordinates, are Tb at (0.000, 0.500, 0.242), Be at (0.500, 0.500, 0.000), Si at (0.000, 0.000, 0.500), Si at (0.000, 0.500, 0.867), Si at (0.500, 0.500, 0.500), Pt at (0.000, 0.000, 0.000) and Pt at (0.000, 0.500, 0.629).

=====

Entry 3:
Tb2Be4Si3Pt | PBE | optimized geometry

As for the uncorrected formation energy: -0.601 eV/atom.

It has space group P-4m2 (No. 115), with a = 3.847 Å, b = 3.847 Å, c = 9.842 Å, α = 90.00°, β = 90.00° and γ = 90.00°. The distinct sites, in fractional coordinates, are Tb at (0.000, 0.500, 0.244), Be at (0.000, 0.000, 0.000), Be at (0.000, 0.500, 0.636), Be at (0.500, 0.500, 0.000), Si at (0.000, 0.500, 0.868), Si at (0.500, 0.500, 0.500) and Pt at (0.000, 0.000, 0.500).

=====

Entry 4:
TbBeSiPt2 | PBE | optimized geometry

As for the uncorrected formation energy: -0.956 eV/atom.

It has space group I-4m2 (No. 119), with a = 4.099 Å, b = 4.099 Å, c = 10.120 Å, α = 90.00°, β = 90.00° and γ = 90.00°. The distinct sites, in fractional coordinates, are Tb at (0.000, 0.000, 0.000), Be at (0.000, 0.500, 0.250), Si at (0.000, 0.500, 0.750) and Pt at (0.000, 0.000, 0.368).

=====

Look up the uncorrected formation energy of the second one. -0.956 eV/atom

=====

Look up the uncorrected formation energy of the third one. -0.601 eV/atom